No. 1
DFT (PBE-GGA) results for a relaxed IrRh3 crystal.

Output
Energy of formation ... 0.018 eV/f.u.

Unit cell a=3.8477 b=3.8477 c=3.8477 alpha=90.00 beta=90.00 gamma=90.00
Sites, in units of the cell vectors:
1 Ir 0.0000 0.0000 0.0000
2 Rh 0.0000 0.5000 0.5000
3 Rh 0.5000 0.0000 0.5000
4 Rh 0.5000 0.5000 0.0000

---

No. 2
DFT (PBE-GGA) results for a relaxed ScCu3Br crystal.

Output
E above lowest polymorph ... 1.06 eV/f.u.

Unit cell a=5.0002 b=5.0002 c=5.0002 alpha=90.00 beta=90.00 gamma=90.00
Sites, in units of the cell vectors:
1 Sc 0.0000 0.0000 0.0000
2 Cu 0.0000 0.0000 0.5000
3 Cu 0.0000 0.5000 0.0000
4 Cu 0.5000 0.0000 0.0000
5 Br 0.5000 0.5000 0.5000

---

No. 3
DFT (PBE-GGA) results for a relaxed CaOsRhBr2 crystal.

Output
Uncorrected energy ... -3.83 eV/atom

Unit cell a=4.8871 b=4.8871 c=5.6814 alpha=90.00 beta=90.00 gamma=90.00
Sites, in units of the cell vectors:
1 Ca 0.0000 0.0000 0.0000
2 Os 0.0000 0.0000 0.5000
3 Rh 0.5000 0.5000 0.0000
4 Br 0.0000 0.5000 0.5000
5 Br 0.5000 0.0000 0.5000

---

No. 4
DFT (PBE-GGA) results for a relaxed BeCu6Si crystal.

Output
E above lowest polymorph ... 0.00 eV/f.u.

Unit cell a=4.5446 b=4.5446 c=4.5446 alpha=89.79 beta=89.79 gamma=89.79
Sites, in units of the cell vectors:
1 Be 0.0000 0.0000 0.0000
2 Cu 0.0005 0.5044 0.7512
3 Cu 0.2488 0.9995 0.4956
4 Cu 0.4956 0.2488 0.9995
5 Cu 0.5044 0.7512 0.0005
6 Cu 0.7512 0.0005 0.5044
7 Cu 0.9995 0.4956 0.2488
8 Si 0.5000 0.5000 0.5000

---

No. 5
DFT (PBE-GGA) results for a relaxed Li3AsPd2 crystal.

Output
Energy of formation ... -3.414 eV/f.u.

Unit cell a=3.9519 b=3.9519 c=11.1363 alpha=100.18 beta=100.18 gamma=90.02
Sites, in units of the cell vectors:
1 Li 0.0410 0.2915 0.5833
2 Li 0.1257 0.8743 0.7500
3 Li 0.2915 0.0410 0.0833
4 Li 0.7085 0.9590 0.9167
5 Li 0.8743 0.1257 0.2500
6 Li 0.9590 0.7085 0.4167
7 As 0.3745 0.6255 0.2500
8 As 0.6255 0.3745 0.7500
9 Pd 0.2040 0.4534 0.9085
10 Pd 0.4534 0.2040 0.4085
11 Pd 0.5466 0.7960 0.5915
12 Pd 0.7960 0.5466 0.0915

---

No. 6
DFT (PBE-GGA) results for a relaxed Tb3Ho12Tm crystal.

Output
Energy of formation ... 0.318 eV/f.u.

Unit cell a=4.9804 b=4.9804 c=19.9053 alpha=90.00 beta=90.00 gamma=90.00
Sites, in units of the cell vectors:
1 Tb 0.0000 0.0000 0.0000
2 Tb 0.0000 0.0000 0.2505
3 Tb 0.0000 0.0000 0.7495
4 Ho 0.0000 0.5000 0.1254
5 Ho 0.0000 0.5000 0.3759
6 Ho 0.0000 0.5000 0.6241
7 Ho 0.0000 0.5000 0.8746
8 Ho 0.5000 0.0000 0.1254
9 Ho 0.5000 0.0000 0.3759
10 Ho 0.5000 0.0000 0.6241
11 Ho 0.5000 0.0000 0.8746
12 Ho 0.5000 0.5000 0.0000
13 Ho 0.5000 0.5000 0.2508
14 Ho 0.5000 0.5000 0.5000
15 Ho 0.5000 0.5000 0.7492
16 Tm 0.0000 0.0000 0.5000

---

No. 7
DFT (PBE-GGA) results for a relaxed Co2RuPt crystal.

Output
Energy of formation ... 1.239 eV/f.u.
E above lowest polymorph ... 0.98 eV/f.u.

Unit cell a=4.2424 b=4.2424 c=4.2424 alpha=60.00 beta=60.00 gamma=60.00
Sites, in units of the cell vectors:
1 Co 0.0000 0.0000 0.0000
2 Co 0.2500 0.2500 0.2500
3 Ru 0.7500 0.7500 0.7500
4 Pt 0.5000 0.5000 0.5000

---

No. 8
DFT (PBE-GGA) results for a relaxed ZnAg2P crystal.

Output
Energy of formation ... 0.955 eV/f.u.
E above lowest polymorph ... 0.30 eV/f.u.

Unit cell a=4.9325 b=4.9325 c=2.9403 alpha=90.00 beta=90.00 gamma=110.84
Sites, in units of the cell vectors:
1 Zn 0.0000 0.0000 0.0000
2 Ag 0.0000 0.5000 0.5000
3 Ag 0.5000 0.0000 0.5000
4 P 0.5000 0.5000 0.0000